This record from Alexandria via LeMat-Bulk describes crystalline Na2TiSiS5 at its relaxed geometry. The functional is PBE-GGA.

Properties
- raw total energy (eV/atom) = -5.1306

a = 8.8605 Å, b = 8.8605 Å, c = 12.5975 Å
α = 90.00°, β = 90.00°, γ = 157.00°
Last column: nearest neighbours and their distance in Å.
Sites, in units of the cell vectors:
Na 0.1144 0.8856 0.5000  5 S 2.85-3.07
Na 0.1200 0.8800 0.1508  6 S 2.92-3.03
Na 0.8800 0.1200 0.6508  6 S 2.92-3.03
Na 0.8856 0.1144 0.0000  5 S 2.85-3.07
Ti 0.2219 0.7781 0.8721  3 S 2.20-2.38
Ti 0.7781 0.2219 0.3721  3 S 2.20-2.38
Si 0.4289 0.5711 0.2526  4 S 2.05-2.24
Si 0.5711 0.4289 0.7526  4 S 2.05-2.24
S 0.0533 0.9467 0.8589  2 Si 2.24
S 0.2911 0.7089 0.4979  2 Ti 2.38
S 0.3069 0.6931 0.2298  1 Si 2.14
S 0.3452 0.6548 0.8316  1 Ti 2.20
S 0.4892 0.5108 0.1127  1 Si 2.05
S 0.5108 0.4892 0.6127  1 Si 2.05
S 0.6548 0.3452 0.3316  1 Ti 2.20
S 0.6931 0.3069 0.7298  1 Si 2.14
S 0.7089 0.2911 0.9979  2 Ti 2.38
S 0.9467 0.0533 0.3589  2 Si 2.24